Entry from Alexandria: a relaxed Li2HoThHg4 crystal (PBE). Values from VASP.

Its total energy is -19.923 eV/cell. The crystal system is trigonal.

The structure in Quantum ESPRESSO input format:
```
&SYSTEM
  ibrav = 0, nat = 8, ntyp = 4
/
ATOMIC_SPECIES
Th 232.04 Th.upf
Ho 164.93 Ho.upf
Hg 200.59 Hg.upf
Li 6.94 Li.upf
ATOMIC_POSITIONS angstrom
Th 0.000 0.000 0.000
Ho 2.104 -0.578 6.853
Hg 1.442 -2.933 8.732
Hg 2.766 1.777 4.973
Hg 3.777 1.438 8.362
Hg 0.431 -2.594 5.343
Li 3.126 -0.903 10.251
Li 1.082 -0.252 3.454
CELL_PARAMETERS angstrom
-2.268 -1.347 4.313
1.939 -3.721 2.821
4.538 3.912 6.572
```